AcZn6Cu6: relaxed, PBE-GGA.

The total DFT energy (no corrections) comes out at -2.9160 eV per atom. Its formation energy is -11.7 kJ/mol of atoms. As for the density of states at the Fermi level: 0.5179 states/eV per atom.

The structure belongs to space group Immm (No. 71); the cell edges are 4.9439, 8.9648 and 9.1082 Å and the angles 90.00°, 90.00° and 90.00°. The distinct sites, in fractional coordinates, are Ac at (0.0000, 0.0000, 0.0000), Zn at (0.0000, 0.0000, 0.3559), Zn at (0.0000, 0.3532, 0.0000), Zn at (0.0000, 0.5000, 0.2719), Cu at (0.0000, 0.2613, 0.5000) and Cu at (0.2500, 0.2500, 0.2500).

=====

K2Pm2PdO6: relaxed, PBE-GGA.

The total DFT energy (no corrections) comes out at -6.2380 eV per atom. Its uncorrected formation energy is -21.98 eV/f.u.

The structure belongs to space group C2/m (No. 12); the cell edges are 5.9754, 10.2546 and 6.6117 Å and the angles 90.00°, 104.62° and 90.00°. The distinct sites, in fractional coordinates, are K at (0.0000, 0.1548, 0.0000), Pm at (0.0000, 0.3359, 0.5000), Pd at (0.0000, 0.0000, 0.5000), O at (0.1976, 0.1533, 0.6736) and O at (0.2440, 0.0000, 0.3212).

=====

PmMgGaPb: relaxed, PBE-GGA.

The total DFT energy (no corrections) comes out at -3.6751 eV per atom. Its formation energy is -39.1 kJ/mol of atoms. The calculation puts the energy above the most stable polymorph in this dataset at 0 meV/atom. As for the density of states at the Fermi level: 0.5385 states/eV per atom.

The structure belongs to space group Pmmm (No. 47); the cell edges are 4.4245, 4.6594 and 4.7972 Å and the angles 90.00°, 90.00° and 90.00°. The distinct sites, in fractional coordinates, are Pm at (0.0000, 0.0000, 0.0000), Mg at (0.0000, 0.5000, 0.5000), Ga at (0.5000, 0.5000, 0.0000) and Pb at (0.5000, 0.0000, 0.5000).

=====

PmEr2In2Ag2: relaxed, PBE-GGA.

The total DFT energy (no corrections) comes out at -3.8623 eV per atom. Its formation energy is -27.3 kJ/mol of atoms. As for the density of states at the Fermi level: 0.6983 states/eV per atom.

The structure belongs to space group R-3m (No. 166, hexagonal axes); the cell edges are 4.8695, 4.8695 and 26.5864 Å and the angles 90.00°, 90.00° and 120.00°. The distinct sites, in fractional coordinates, are Pm at (0.0000, 0.0000, 0.0000), Er at (0.0000, 0.0000, 0.1274), In at (0.0000, 0.0000, 0.2576) and Ag at (0.0000, 0.0000, 0.4061).

=====

NiW2Au: relaxed, PBE-GGA.

The total DFT energy (no corrections) comes out at -8.4456 eV per atom. Its formation energy is 28.5 kJ/mol of atoms. The calculation puts the energy above the most stable polymorph in this dataset at 128 meV/atom. As for the density of states at the Fermi level: 0.7757 states/eV per atom.

The structure belongs to space group Cm (No. 8); the cell edges are 9.0794, 2.7213 and 5.0056 Å and the angles 90.00°, 98.15° and 90.00°. The distinct sites, in fractional coordinates, are Ni at (0.0000, 0.0000, 0.0000), W at (0.2379, 0.5000, 0.2295), W at (0.4961, 0.0000, 0.4884) and Au at (0.2483, 0.0000, 0.7531).

=====

DyGa4CoRh2: relaxed, PBE-GGA.

The total DFT energy (no corrections) comes out at -5.4110 eV per atom. Its formation energy is -57.5 kJ/mol of atoms. As for the density of states at the Fermi level: 0.3692 states/eV per atom.

The structure belongs to space group R-3m (No. 166, hexagonal axes); the cell edges are 4.1848, 4.1848 and 25.4879 Å and the angles 90.00°, 90.00° and 120.00°. The distinct sites, in fractional coordinates, are Dy at (0.0000, 0.0000, 0.0000), Ga at (0.0000, 0.0000, 0.1337), Ga at (0.0000, 0.0000, 0.4007), Co at (0.0000, 0.0000, 0.5000) and Rh at (0.0000, 0.0000, 0.2352).